DFT (PBE+U) results for a geometry-optimized Li4Mn3O7 structure.

Results
space-group type	P-1 (2)
uncorrected energy	-6.4132	eV/atom

Lattice parameters (Å, degrees): 6.020 6.530 7.757 66.20 71.04 75.09
Site moments in Bohr magnetons follow the coordinates.
Element x y z (fractional)
Mn1 0.578 0.641 0.279  3.85
Mn2 0.422 0.359 0.721  3.85
Mn3 0.138 0.783 0.577  3.22
Mn4 0.276 0.069 0.144  3.87
Mn5 0.724 0.931 0.856  3.87
Mn6 0.862 0.217 0.423  3.22
O1 0.242 0.505 0.523  -0.02
O2 0.852 0.674 0.767  -0.07
O3 0.425 0.903 0.370  -0.08
O4 0.605 0.218 0.916  0.00
O5 0.758 0.495 0.477  -0.02
O6 0.043 0.068 0.623  -0.01
O7 0.876 0.798 0.064  0.04
O8 0.575 0.097 0.630  -0.08
O9 0.957 0.932 0.377  -0.01
O10 0.395 0.782 0.084  0.00
O11 0.325 0.648 0.767  -0.04
O12 0.124 0.202 0.936  0.04
O13 0.675 0.352 0.233  -0.04
O14 0.148 0.326 0.233  -0.07
Li1 0.810 0.093 0.115  0.00
Li2 0.500 0.500 0.000  -0.01
Li3 0.062 0.637 0.278  0.00
Li4 0.938 0.363 0.722  0.00
Li5 0.190 0.907 0.885  0.00
Li6 0.000 0.500 0.000  0.01
Li7 0.644 0.790 0.569  0.00
Li8 0.356 0.210 0.431  0.00